TaTc2HPd: optimized geometry, GGA-PBE.

Geometry as CIF:
```
data_TaTc2HPd
_chemical_formula_sum 'Ta1 Tc2 H1 Pd1'
_symmetry_space_group_name_H-M 'P 4/m m m'
_symmetry_Int_Tables_number 123
_symmetry_space_group_name_Hall '-P 4 2'
_cell_length_a 4.007
_cell_length_b 4.007
_cell_length_c 3.960
_cell_angle_alpha 90.00
_cell_angle_beta 90.00
_cell_angle_gamma 90.00
loop_
_atom_site_label
_atom_site_fract_x
_atom_site_fract_y
_atom_site_fract_z
Ta1 0.000 0.000 0.000
Tc1 0.000 0.500 0.500
H1 0.500 0.500 0.500
Pd1 0.500 0.500 0.000
```

The polymorph energy (0 for the lowest one) comes out at 0.000 eV/atom. Its density of states at the Fermi level is 0.83 states/eV/atom. Its calculated total energy is -8.361 eV per atom. The calculation puts the total magnetization at 0.0000 μB per atom.